DFT (PBE) results for an optimized crystal structure of La3Sm6Y.

Structure (POSCAR):
```
La3Sm6Y
1.0
8.1713 0.0000 -3.3165
-2.6799 5.6040 -6.6029
-0.6183 -1.4281 10.2014
La Sm Y
3 6 1
Direct
0.7181 0.2049 0.4363
0.2819 0.7951 0.5637
0.0000 0.0000 0.0000
0.4406 0.3979 0.2441
0.1965 0.6021 0.7559
0.5594 0.6021 0.7559
0.8035 0.3979 0.2441
0.1215 0.8605 0.2430
0.8785 0.1395 0.7570
0.5000 0.5000 0.0000
```

* E above lowest polymorph: 108 meV per atom
* magnetization: 0.0 μB/f.u.
* formation energy: 0.29 eV per atom